Record 1
ZrTeI2 | PBE | relaxed

## Properties
crystal system = monoclinic
offset from the most stable computed form = 0.0 meV/atom
calculated density = 4.870 Mg/m³
calculated total energy = -0.32707 Ry/atom
M_tot = 0.00 μB/f.u.
formation energy (no corrections) = -0.75 eV per atom

Cell and atoms, written as POSCAR:
```
ZrTeI2
1.0
-0.8523 -3.1097 -2.0027
3.7929 3.3154 -3.1653
3.9197 -4.6042 5.4812
Zr Te I
1 1 2
direct
0.7418 0.4836 0.3751
0.4321 0.8642 0.3748
0.0853 0.1706 0.0962
0.2408 0.4816 0.6540
```


Record 2
ZrTeI2 | PBE | relaxed

## Properties
crystal system = tetragonal
offset from the most stable computed form = 235.5 meV/atom
calculated density = 4.967 Mg/m³
calculated total energy = -0.30976 Ry/atom
M_tot = 0.00 μB/f.u.
formation energy (no corrections) = -0.52 eV per atom

Cell and atoms, written as POSCAR:
```
ZrTeI2
1.0
-2.6030 -7.4184 7.1973
8.1619 3.0785 6.1249
1.1244 -0.3412 7.9474
I Te Zr
4 2 2
direct
0.4854 0.1250 0.2500
0.2646 0.6250 0.2500
0.3750 0.5146 0.7500
0.8750 0.7354 0.7500
0.0000 0.0000 0.0000
0.7500 0.2500 0.5000
0.5000 0.5000 0.0000
0.2500 0.7500 0.5000
```


Record 3
Zr2Te2I | PBE | relaxed

## Properties
crystal system = tetragonal
calculated density = 7.149 Mg/m³
calculated total energy = -0.41561 Ry/atom
M_tot = 0.00 μB/f.u.
formation energy (no corrections) = -0.67 eV per atom

Cell and atoms, written as POSCAR:
```
Zr2Te2I
1.0
8.3819 0.0000 0.0000
0.0000 8.3819 0.0000
0.0000 0.0000 3.7332
I Te Zr
2 4 4
direct
0.0000 0.0000 0.0000
0.5000 0.5000 0.0000
0.1455 0.6455 0.5000
0.6455 0.8545 0.5000
0.8545 0.3545 0.5000
0.3545 0.1455 0.5000
0.3670 0.8670 0.0000
0.8670 0.6330 0.0000
0.6330 0.1330 0.0000
0.1330 0.3670 0.0000
```


Record 4
ZrTeI2 | PBE | relaxed

## Properties
crystal system = cubic
offset from the most stable computed form = 848.2 meV/atom
calculated density = 7.127 Mg/m³
calculated total energy = -0.26474 Ry/atom
M_tot = 0.00 μB/f.u.
formation energy (no corrections) = 0.10 eV per atom

Cell and atoms, written as POSCAR:
```
ZrTeI2
1.0
2.2157 1.4161 4.6938
-2.0426 4.1099 2.8078
-2.6260 -0.9283 4.6032
I Te Zr
2 1 1
direct
0.2500 0.2500 0.2500
0.7500 0.7500 0.7500
0.5000 0.5000 0.5000
0.0000 0.0000 0.0000
```


Record 5
ZrTeI | PBE | relaxed

## Properties
crystal system = monoclinic
calculated density = 4.097 Mg/m³
calculated total energy = -0.36622 Ry/atom
M_tot = 0.00 μB/f.u.
formation energy (no corrections) = -0.57 eV per atom

Cell and atoms, written as POSCAR:
```
ZrTeI
1.0
-2.6051 1.2798 -3.2578
-0.5574 -7.6789 -2.5723
-6.4512 -2.8388 4.0437
Zr Te I
2 2 2
direct
0.5000 0.3810 0.3799
0.5000 0.6190 0.6201
0.0001 0.2483 0.2459
0.9999 0.7517 0.7541
0.5001 0.2597 0.7385
0.4999 0.7403 0.2615
```


Record 6
Zr3Te2I4 | PBE | relaxed

## Properties
crystal system = hexagonal
calculated density = 5.607 Mg/m³
calculated total energy = -0.37266 Ry/atom
M_tot = 0.00 μB/f.u.
formation energy (no corrections) = -0.83 eV per atom

Cell and atoms, written as POSCAR:
```
Zr3Te2I4
1.0
-2.7049 -0.6575 2.6747
-0.4892 -1.3028 -3.6009
10.7849 -20.3613 5.9014
Zr Te I
3 2 4
direct
0.0000 0.0000 0.3207
0.0000 0.0000 0.6793
0.6667 0.3333 0.0000
0.0000 0.0000 0.9207
0.0000 0.0000 0.0793
0.6667 0.3333 0.4021
0.6667 0.3333 0.7605
0.6667 0.3333 0.2395
0.6667 0.3333 0.5979
```


Record 7
ZrTe2I4 | PBE | relaxed

## Properties
crystal system = triclinic
calculated density = 4.454 Mg/m³
calculated total energy = -0.25820 Ry/atom
M_tot = 0.00 μB/f.u.
formation energy (no corrections) = -0.51 eV per atom

Cell and atoms, written as POSCAR:
```
ZrTe2I4
1.0
3.9272 0.0598 -1.0604
-0.6199 6.8799 -1.9927
1.0010 0.1021 11.4716
Zr Te I
1 2 4
direct
0.0000 0.0000 0.0000
0.2206 0.3746 0.4394
0.7794 0.6254 0.5606
0.1077 0.8792 0.2159
0.8923 0.1208 0.7841
0.4484 0.7066 0.8928
0.5516 0.2934 0.1072
```


Record 8
ThI3 | PBE | relaxed

## Properties
crystal system = orthorhombic
calculated density = 5.616 Mg/m³
calculated total energy = -0.30897 Ry/atom
M_tot = 0.00 μB/f.u.
formation energy (no corrections) = -1.19 eV per atom

Cell and atoms, written as POSCAR:
```
ThI3
1.0
11.1437 0.2121 0.0000
-7.1334 8.5639 0.0000
0.0000 0.0000 14.9515
Th I
8 24
direct
0.5000 0.5000 0.0000
0.5000 0.5000 0.5000
0.5000 0.5000 0.7500
0.5000 0.5000 0.2500
0.4984 0.8429 0.0000
0.8429 0.4984 0.5000
0.5016 0.1571 0.0000
0.1571 0.5016 0.5000
0.5000 0.0000 0.8210
0.0000 0.5000 0.6790
0.5000 0.0000 0.1790
0.0000 0.5000 0.3210
0.2812 0.1900 0.8710
0.1900 0.2812 0.6290
0.7188 0.8100 0.8710
0.8100 0.7188 0.6290
0.7188 0.8100 0.1290
0.8100 0.7188 0.3710
0.2812 0.1900 0.1290
0.1900 0.2812 0.3710
0.5305 0.2790 0.6272
0.2790 0.5305 0.8728
0.4695 0.7210 0.6272
0.7210 0.4695 0.8728
0.4695 0.7210 0.3728
0.7210 0.4695 0.1272
0.5305 0.2790 0.3728
0.2790 0.5305 0.1272
0.8102 0.1932 0.0000
0.1932 0.8102 0.5000
0.1898 0.8068 0.0000
0.8068 0.1898 0.5000
```


Record 9
ThI4 | PBE | relaxed

## Properties
crystal system = tetragonal
calculated density = 6.074 Mg/m³
calculated total energy = -0.27573 Ry/atom
M_tot = 0.00 μB/f.u.
formation energy (no corrections) = -1.03 eV per atom

Cell and atoms, written as POSCAR:
```
ThI4
1.0
-0.5065 4.1948 -5.7626
5.0594 -3.8577 -3.2529
-5.5647 -4.7778 -2.9888
Th I
2 8
direct
0.0000 0.0000 0.0000
0.5000 0.5000 0.5000
0.1895 0.2610 0.3507
0.8105 0.7390 0.3507
0.2610 0.8105 0.6493
0.7390 0.1895 0.6493
0.3105 0.7610 0.1493
0.6895 0.2390 0.1493
0.2390 0.3105 0.8507
0.7610 0.6895 0.8507
```


Record 10
ThI3 | PBE | relaxed

## Properties
crystal system = orthorhombic
calculated density = 5.054 Mg/m³
calculated total energy = -0.30354 Ry/atom
M_tot = 0.00 μB/f.u.
formation energy (no corrections) = -1.11 eV per atom

Cell and atoms, written as POSCAR:
```
ThI3
1.0
3.9185 0.0000 0.0000
0.0000 8.0261 0.0000
-1.9593 -4.0130 6.4015
I Th
3 1
direct
0.3340 0.7216 0.6680
0.5000 0.3489 0.0000
0.6660 0.0536 0.3320
0.0000 0.0426 0.0000
```


Record 11
Th4I | PBE | relaxed

## Properties
crystal system = cubic
calculated density = 8.985 Mg/m³
calculated total energy = -0.41862 Ry/atom
M_tot = 0.00 μB/f.u.
formation energy (no corrections) = 0.55 eV per atom

Cell and atoms, written as POSCAR:
```
Th4I
1.0
-4.1368 4.0595 -0.1796
-3.6439 -3.5926 2.7278
1.7984 2.0589 5.1139
I Th
1 4
direct
0.5000 0.5000 0.5000
0.0000 0.0000 0.0000
0.5000 0.0000 0.5000
0.0000 0.5000 0.5000
0.5000 0.5000 0.0000
```


Record 12
ThI4 | PBE | relaxed

## Properties
crystal system = monoclinic
calculated density = 5.173 Mg/m³
calculated total energy = -0.28940 Ry/atom
M_tot = 0.00 μB/f.u.
formation energy (no corrections) = -1.21 eV per atom

Cell and atoms, written as POSCAR:
```
ThI4
1.0
8.2270 0.0000 0.0000
0.0000 8.5133 -0.0707
0.0000 5.3329 13.5146
Th I
4 16
direct
0.5076 0.0029 0.3177
0.0076 0.9971 0.1823
0.4924 0.9971 0.6823
0.9924 0.0029 0.8177
0.8492 0.1497 0.3425
0.3492 0.8503 0.1575
0.1508 0.8503 0.6575
0.6508 0.1497 0.8425
0.0849 0.2245 0.9505
0.5849 0.7755 0.5495
0.9151 0.7755 0.0495
0.4151 0.2245 0.4505
0.7488 0.7150 0.8096
0.2488 0.2850 0.6904
0.2512 0.2850 0.1904
0.7512 0.7150 0.3096
0.3208 0.8121 0.8984
0.8208 0.1879 0.6016
0.6792 0.1879 0.1016
0.1792 0.8121 0.3984
```


Record 13
ThI4 | PBE | relaxed

## Properties
crystal system = monoclinic
calculated density = 4.455 Mg/m³
calculated total energy = -0.28603 Ry/atom
M_tot = 0.00 μB/f.u.
formation energy (no corrections) = -1.17 eV per atom

Cell and atoms, written as POSCAR:
```
ThI4
1.0
-3.5504 0.9193 -2.8492
-2.7500 -7.0293 1.1641
-4.0460 2.8969 5.9780
Th I
1 4
direct
0.5000 0.0000 0.0000
0.0001 0.2032 0.8157
0.9999 0.7968 0.1843
0.5003 0.2704 0.2852
0.4997 0.7296 0.7148
```


Record 14
ThI4 | PBE | relaxed

## Properties
crystal system = cubic
calculated density = 5.351 Mg/m³
calculated total energy = -0.25526 Ry/atom
M_tot = 0.15 μB/f.u.
formation energy (no corrections) = -0.75 eV per atom

Cell and atoms, written as POSCAR:
```
ThI4
1.0
6.1229 0.0000 0.0000
0.0000 6.1229 0.0000
0.0000 0.0000 6.1229
I Th
4 1
direct
0.0000 0.0000 0.0000
0.5000 0.0000 0.5000
0.0000 0.5000 0.5000
0.5000 0.5000 0.0000
0.5000 0.5000 0.5000
```


Record 15
ThI5 | PBE | relaxed

## Properties
crystal system = monoclinic
calculated density = 5.115 Mg/m³
calculated total energy = -0.24070 Ry/atom
M_tot = 0.84 μB/f.u.
formation energy (no corrections) = -0.75 eV per atom

Cell and atoms, written as POSCAR:
```
ThI5
1.0
4.0818 0.0000 0.0000
-2.0409 6.8439 -4.2369
0.0000 0.3612 9.8475
Th I
1 5
direct
0.3033 0.6066 0.0685
0.9294 0.8589 0.9824
0.6394 0.2789 0.8349
0.2704 0.5408 0.6926
0.9674 0.9349 0.3450
0.7233 0.4467 0.2432
```


Record 16
ThTiI | PBE | relaxed

## Properties
crystal system = monoclinic
calculated density = 8.495 Mg/m³
calculated total energy = -0.41145 Ry/atom
M_tot = 0.42 μB/f.u.
formation energy (no corrections) = 0.02 eV per atom

Cell and atoms, written as POSCAR:
```
ThTiI
1.0
3.5286 0.0000 0.0000
0.0000 7.7522 1.1601
-1.7643 -2.6401 5.4190
Th Ti I
2 2 2
direct
0.8141 0.8513 0.6282
0.1859 0.1487 0.3718
0.1633 0.5144 0.3266
0.8367 0.4856 0.6734
0.5289 0.7468 0.0579
0.4711 0.2532 0.9421
```


Record 17
ThTl3I6 | PBE | relaxed

## Properties
crystal system = monoclinic
calculated density = 5.791 Mg/m³
calculated total energy = -0.23343 Ry/atom
M_tot = 1.09 μB/f.u.
formation energy (no corrections) = -0.79 eV per atom

Cell and atoms, written as POSCAR:
```
ThTl3I6
1.0
8.6567 0.0000 0.0000
0.0000 8.6233 -0.2819
0.0000 -0.3596 12.3542
Th Tl I
2 6 12
direct
0.5000 0.5000 0.5000
0.0000 0.0000 0.0000
0.1532 0.4669 0.2828
0.5000 0.5000 0.0000
0.8468 0.5331 0.7172
0.3468 0.9669 0.7828
0.0000 0.0000 0.5000
0.6532 0.0331 0.2172
0.8492 0.3176 0.0772
0.8110 0.3365 0.4321
0.9899 0.1429 0.7724
0.0101 0.8571 0.2276
0.1890 0.6635 0.5679
0.1508 0.6824 0.9228
0.6508 0.8176 0.5772
0.6890 0.8365 0.9321
0.5101 0.6429 0.2724
0.4899 0.3571 0.7276
0.3110 0.1635 0.0679
0.3492 0.1824 0.4228
```


Record 18
ThTlI5 | PBE | relaxed

## Properties
crystal system = monoclinic
calculated density = 4.749 Mg/m³
calculated total energy = -0.25920 Ry/atom
M_tot = 0.00 μB/f.u.
formation energy (no corrections) = -1.02 eV per atom

Cell and atoms, written as POSCAR:
```
ThTlI5
1.0
-4.3517 -1.9733 7.0028
-0.9905 -6.0713 -5.8334
12.0041 -1.8495 1.6577
Th Tl I
2 2 10
direct
0.0000 0.0000 0.0000
0.5000 0.0000 0.5000
0.7277 0.4777 0.2500
0.2723 0.5223 0.7500
0.8067 0.1282 0.1293
0.1192 0.7844 0.4872
0.5011 0.3226 0.6293
0.3415 0.0915 0.2500
0.7972 0.6321 0.0128
0.2028 0.3679 0.9872
0.6585 0.9085 0.7500
0.4989 0.6774 0.3707
0.8808 0.2156 0.5128
0.1933 0.8718 0.8707
```


Record 19
Th2TlI8 | PBE | relaxed

## Properties
crystal system = trigonal
calculated density = 4.499 Mg/m³
calculated total energy = -0.26397 Ry/atom
M_tot = 1.21 μB/f.u.
formation energy (no corrections) = -0.90 eV per atom

Cell and atoms, written as POSCAR:
```
Th2TlI8
1.0
6.2475 0.0000 -0.0004
-0.0007 9.2815 -5.3570
0.0000 -0.0015 10.7176
I Tl Th
8 1 2
direct
0.2520 0.6666 0.3333
0.7480 0.3334 0.6667
0.7411 0.8270 0.1711
0.2588 0.1711 0.3442
0.2589 0.6559 0.8270
0.2589 0.1730 0.8289
0.7412 0.8288 0.6558
0.7411 0.3441 0.1730
0.0000 0.0000 0.0000
0.2456 0.3334 0.6667
0.7544 0.6666 0.3333
```


Record 20
Tm2ThI | PBE | relaxed

## Properties
crystal system = tetragonal
offset from the most stable computed form = 66.8 meV/atom
calculated density = 9.206 Mg/m³
calculated total energy = -0.34899 Ry/atom
M_tot = 0.00 μB/f.u.
formation energy (no corrections) = -0.27 eV per atom

Cell and atoms, written as POSCAR:
```
Tm2ThI
1.0
3.6892 0.0000 0.0000
0.0000 3.6892 0.0000
0.0000 0.0000 9.2351
I Tm Th
1 2 1
direct
0.5000 0.5000 0.0000
0.0000 0.0000 0.7477
0.0000 0.0000 0.2523
0.5000 0.5000 0.5000
```


Record 21
Tm2ThI | PBE | relaxed

## Properties
crystal system = trigonal
offset from the most stable computed form = 0.0 meV/atom
calculated density = 9.399 Mg/m³
calculated total energy = -0.35390 Ry/atom
M_tot = 0.00 μB/f.u.
formation energy (no corrections) = -0.34 eV per atom

Cell and atoms, written as POSCAR:
```
Tm2ThI
1.0
-1.1969 -3.4570 -0.6006
1.4832 -2.0278 -2.7262
7.2268 -5.4379 5.4559
I Tm Th
1 2 1
direct
0.0000 0.0000 0.0000
0.7459 0.7459 0.7624
0.2541 0.2541 0.2376
0.5000 0.5000 0.5000
```


Record 22
Th4WI5 | PBE | relaxed

## Properties
crystal system = monoclinic
calculated density = 7.578 Mg/m³
calculated total energy = -0.41748 Ry/atom
M_tot = 0.00 μB/f.u.
formation energy (no corrections) = -0.64 eV per atom

Cell and atoms, written as POSCAR:
```
Th4WI5
1.0
4.0910 0.0000 -0.8909
-0.4725 9.1881 -2.1700
0.0688 0.0510 10.1545
Th W I
4 1 5
direct
0.6454 0.0772 0.2907
0.9988 0.2022 0.9975
0.3546 0.9228 0.7093
0.0012 0.7978 0.0025
0.5000 0.0000 0.0000
0.1673 0.3500 0.3345
0.1750 0.8257 0.3500
0.8250 0.1743 0.6500
0.5000 0.5000 0.0000
0.8327 0.6500 0.6655
```


Record 23
YThI | PBE | relaxed

## Properties
crystal system = monoclinic
calculated density = 7.729 Mg/m³
calculated total energy = -0.40450 Ry/atom
M_tot = 0.00 μB/f.u.
formation energy (no corrections) = -0.36 eV per atom

Cell and atoms, written as POSCAR:
```
YThI
1.0
5.8939 1.2837 0.7892
4.0564 4.4645 0.7892
4.8510 2.8024 9.8869
Th Y I
2 2 2
direct
0.9711 0.9711 0.7123
0.7820 0.7820 0.5950
0.6489 0.6489 0.3719
0.1043 0.1043 0.9354
0.4422 0.4422 0.2638
0.3110 0.3110 0.0435
```